{"formula": "NaTc3C", "functional": "PBE", "state": "relaxed", "formation_energy_ev_per_fu": 3.11, "e_above_lowest_polymorph_mev_per_atom": 0, "lattice": [[4.134, 0.000, 0.000], [0.000, 4.134, 0.000], [0.000, 0.000, 4.134]], "species": ["Na", "Tc", "Tc", "Tc", "C"], "fractional_positions": [[0.000, 0.000, 0.000], [0.000, 0.500, 0.500], [0.500, 0.000, 0.500], [0.500, 0.500, 0.000], [0.500, 0.500, 0.500]]}


{"formula": "NaY2TcC", "functional": "PBE", "state": "relaxed", "formation_energy_ev_per_fu": 3.14, "e_above_lowest_polymorph_mev_per_atom": 632, "lattice": [[4.868, 0.000, 0.000], [0.000, 4.868, 0.000], [0.000, 0.000, 4.587]], "species": ["Na", "Y", "Y", "Tc", "C"], "fractional_positions": [[0.000, 0.000, 0.000], [0.000, 0.500, 0.500], [0.500, 0.000, 0.500], [0.500, 0.500, 0.000], [0.000, 0.000, 0.500]]}


{"formula": "NaY2TcC", "functional": "PBE", "state": "relaxed", "formation_energy_ev_per_fu": -0.02, "e_above_lowest_polymorph_mev_per_atom": 0, "lattice": [[5.094, 0.000, 0.000], [0.000, 5.094, 0.000], [0.000, 0.000, 4.020]], "species": ["Na", "Y", "Y", "Tc", "C"], "fractional_positions": [[0.000, 0.000, 0.000], [0.000, 0.500, 0.500], [0.500, 0.000, 0.500], [0.500, 0.500, 0.000], [0.500, 0.500, 0.500]]}


{"formula": "NaYTc2C", "functional": "PBE", "state": "relaxed", "formation_energy_ev_per_fu": 1.36, "lattice": [[4.128, 0.000, 0.000], [0.000, 4.128, 0.000], [0.000, 0.000, 4.916]], "species": ["Na", "Y", "Tc", "Tc", "C"], "fractional_positions": [[0.000, 0.000, 0.000], [0.500, 0.500, 0.000], [0.000, 0.500, 0.500], [0.500, 0.000, 0.500], [0.500, 0.500, 0.500]]}


{"formula": "NaTe2C", "functional": "PBE", "state": "relaxed", "raw_formation_energy_ev_per_fu": 2.55, "lattice": [[2.656, 1.533, 6.482], [-2.656, 1.533, 6.482], [0.000, -3.067, 6.482]], "species": ["Na", "Te", "Te", "C"], "fractional_positions": [[0.000, 0.000, 0.000], [0.399, 0.399, 0.399], [0.601, 0.601, 0.601], [0.500, 0.500, 0.500]]}


{"formula": "NaTe2C", "functional": "PBE", "state": "relaxed", "raw_formation_energy_ev_per_fu": 3.77, "lattice": [[1.750, 1.011, 9.189], [-1.750, 1.011, 9.189], [0.000, -2.021, 9.189]], "species": ["Na", "Te", "Te", "C"], "fractional_positions": [[0.000, 0.000, 0.000], [0.112, 0.112, 0.112], [0.888, 0.888, 0.888], [0.500, 0.500, 0.500]]}


{"formula": "NaTeC3", "functional": "PBE", "state": "relaxed", "raw_formation_energy_ev_per_fu": 17.90, "e_above_lowest_polymorph_mev_per_atom": 930, "lattice": [[4.387, 0.000, 0.000], [0.000, 4.387, 0.000], [0.000, 0.000, 4.387]], "species": ["Na", "Te", "C", "C", "C"], "fractional_positions": [[0.000, 0.000, 0.000], [0.500, 0.500, 0.500], [0.000, 0.000, 0.500], [0.000, 0.500, 0.000], [0.500, 0.000, 0.000]]}


{"formula": "NaTeC3", "functional": "PBE", "state": "relaxed", "raw_formation_energy_ev_per_fu": 13.25, "e_above_lowest_polymorph_mev_per_atom": 0, "lattice": [[4.274, 0.000, 0.000], [0.000, 4.274, 0.000], [0.000, 0.000, 4.274]], "species": ["Na", "Te", "C", "C", "C"], "fractional_positions": [[0.000, 0.000, 0.000], [0.500, 0.500, 0.500], [0.000, 0.500, 0.500], [0.500, 0.000, 0.500], [0.500, 0.500, 0.000]]}


{"formula": "NaTe2C", "functional": "PBE", "state": "relaxed", "raw_formation_energy_ev_per_fu": 2.21, "lattice": [[-3.486, 3.486, 4.307], [3.486, -3.486, 4.307], [3.486, 3.486, -4.307]], "species": ["Na", "Na", "Te", "Te", "Te", "Te", "C", "C"], "fractional_positions": [[0.000, 0.000, 0.000], [0.750, 0.250, 0.500], [0.229, 0.625, 0.104], [0.375, 0.479, 0.604], [0.521, 0.125, 0.896], [0.875, 0.771, 0.396], [0.250, 0.750, 0.500], [0.500, 0.500, 0.000]]}


{"formula": "Na2TiTeC", "functional": "PBE", "state": "relaxed", "raw_formation_energy_ev_per_fu": 0.62, "lattice": [[4.865, 0.000, 0.000], [0.000, 4.865, 0.000], [0.000, 0.000, 4.133]], "species": ["Na", "Na", "Ti", "Te", "C"], "fractional_positions": [[0.000, 0.500, 0.000], [0.500, 0.000, 0.000], [0.000, 0.000, 0.500], [0.500, 0.500, 0.500], [0.000, 0.000, 0.000]]}


{"formula": "NaThC", "functional": "PBE", "state": "relaxed", "formation_energy_ev_per_fu": 0.52, "lattice": [[3.287, -1.897, 0.000], [3.287, 1.897, 0.000], [-2.141, 0.000, 12.760]], "species": ["Na", "Na", "Th", "Th", "C", "C"], "fractional_positions": [[0.117, 0.117, 0.363], [0.883, 0.883, 0.637], [0.381, 0.381, 0.148], [0.619, 0.619, 0.852], [0.262, 0.262, 0.779], [0.738, 0.738, 0.221]]}


{"formula": "NaTh2C", "functional": "PBE", "state": "relaxed", "formation_energy_ev_per_fu": -0.12, "lattice": [[1.798, 1.038, 10.403], [-1.798, 1.038, 10.403], [0.000, -2.076, 10.403]], "species": ["Na", "Th", "Th", "C"], "fractional_positions": [[0.000, 0.000, 0.000], [0.120, 0.120, 0.120], [0.880, 0.880, 0.880], [0.500, 0.500, 0.500]]}


{"formula": "NaTi3C", "functional": "PBE", "state": "relaxed", "formation_energy_ev_per_fu": 0.68, "e_above_lowest_polymorph_mev_per_atom": 0, "lattice": [[4.318, 0.000, 0.000], [0.000, 4.318, 0.000], [0.000, 0.000, 4.318]], "species": ["Na", "Ti", "Ti", "Ti", "C"], "fractional_positions": [[0.000, 0.000, 0.000], [0.000, 0.500, 0.500], [0.500, 0.000, 0.500], [0.500, 0.500, 0.000], [0.500, 0.500, 0.500]]}


{"formula": "NaTi2C", "functional": "PBE", "state": "relaxed", "formation_energy_ev_per_fu": 1.84, "lattice": [[-3.458, 3.458, 2.819], [3.458, -3.458, 2.819], [3.458, 3.458, -2.819]], "species": ["Na", "Na", "Ti", "Ti", "Ti", "Ti", "C", "C"], "fractional_positions": [[0.000, 0.000, 0.000], [0.750, 0.250, 0.500], [0.244, 0.125, 0.619], [0.375, 0.756, 0.881], [0.506, 0.625, 0.381], [0.875, 0.494, 0.119], [0.250, 0.750, 0.500], [0.500, 0.500, 0.000]]}


{"formula": "NaTiC2", "functional": "PBE", "state": "relaxed", "formation_energy_ev_per_fu": 4.15, "e_above_lowest_polymorph_mev_per_atom": 0, "lattice": [[-2.295, 2.295, 6.526], [2.295, -2.295, 6.526], [2.295, 2.295, -6.526]], "species": ["Na", "Na", "Ti", "Ti", "C", "C", "C", "C"], "fractional_positions": [[0.000, 0.000, 0.000], [0.750, 0.250, 0.500], [0.250, 0.750, 0.500], [0.500, 0.500, 0.000], [0.326, 0.625, 0.201], [0.375, 0.576, 0.701], [0.424, 0.125, 0.799], [0.875, 0.674, 0.299]]}


{"formula": "Na3TiC", "functional": "PBE", "state": "relaxed", "formation_energy_ev_per_fu": 11.13, "e_above_lowest_polymorph_mev_per_atom": 701, "lattice": [[5.918, 0.000, 0.000], [0.000, 5.918, 0.000], [0.000, 0.000, 5.918]], "species": ["Na", "Na", "Na", "Ti", "C"], "fractional_positions": [[0.000, 0.000, 0.500], [0.000, 0.500, 0.000], [0.500, 0.000, 0.000], [0.000, 0.000, 0.000], [0.500, 0.500, 0.500]]}


{"formula": "Na3TiC", "functional": "PBE", "state": "relaxed", "formation_energy_ev_per_fu": 7.62, "e_above_lowest_polymorph_mev_per_atom": 0, "lattice": [[4.863, 0.000, 0.000], [0.000, 4.863, 0.000], [0.000, 0.000, 4.863]], "species": ["Na", "Na", "Na", "Ti", "C"], "fractional_positions": [[0.000, 0.000, 0.500], [0.000, 0.500, 0.000], [0.500, 0.000, 0.000], [0.500, 0.500, 0.500], [0.000, 0.000, 0.000]]}


{"formula": "NaTiC2", "functional": "PBE", "state": "relaxed", "formation_energy_ev_per_fu": 5.29, "e_above_lowest_polymorph_mev_per_atom": 286, "lattice": [[0.000, 2.769, 2.769], [2.769, 0.000, 2.769], [2.769, 2.769, 0.000]], "species": ["Na", "Ti", "C", "C"], "fractional_positions": [[0.000, 0.000, 0.000], [0.500, 0.500, 0.500], [0.250, 0.250, 0.250], [0.750, 0.750, 0.750]]}


{"formula": "NaTi3C", "functional": "PBE", "state": "relaxed", "formation_energy_ev_per_fu": 13.58, "e_above_lowest_polymorph_mev_per_atom": 2580, "lattice": [[4.549, 0.000, 0.000], [0.000, 4.549, 0.000], [0.000, 0.000, 4.549]], "species": ["Na", "Ti", "Ti", "Ti", "C"], "fractional_positions": [[0.000, 0.000, 0.000], [0.000, 0.000, 0.500], [0.000, 0.500, 0.000], [0.500, 0.000, 0.000], [0.500, 0.500, 0.500]]}


{"formula": "Na2TlC", "functional": "PBE", "state": "relaxed", "formation_energy_ev_per_fu": 4.94, "e_above_lowest_polymorph_mev_per_atom": 96, "lattice": [[-2.076, 2.076, 9.716], [2.076, -2.076, 9.716], [2.076, 2.076, -9.716]], "species": ["Na", "Na", "Na", "Na", "Tl", "Tl", "C", "C"], "fractional_positions": [[0.073, 0.625, 0.948], [0.375, 0.323, 0.448], [0.677, 0.125, 0.052], [0.875, 0.927, 0.552], [0.250, 0.750, 0.500], [0.500, 0.500, 0.000], [0.000, 0.000, 0.000], [0.750, 0.250, 0.500]]}


{"formula": "NaTlC2", "functional": "PBE", "state": "relaxed", "formation_energy_ev_per_fu": 8.64, "e_above_lowest_polymorph_mev_per_atom": 0, "lattice": [[0.000, 3.057, 3.057], [3.057, 0.000, 3.057], [3.057, 3.057, 0.000]], "species": ["Na", "Tl", "C", "C"], "fractional_positions": [[0.000, 0.000, 0.000], [0.500, 0.500, 0.500], [0.250, 0.250, 0.250], [0.750, 0.750, 0.750]]}


{"formula": "Na2TlC", "functional": "PBE", "state": "relaxed", "formation_energy_ev_per_fu": 4.56, "e_above_lowest_polymorph_mev_per_atom": 0, "lattice": [[0.000, 3.458, 3.458], [3.458, 0.000, 3.458], [3.458, 3.458, 0.000]], "species": ["Na", "Na", "Tl", "C"], "fractional_positions": [[0.250, 0.250, 0.250], [0.750, 0.750, 0.750], [0.000, 0.000, 0.000], [0.500, 0.500, 0.500]]}


{"formula": "NaTlC3", "functional": "PBE", "state": "relaxed", "formation_energy_ev_per_fu": 17.40, "e_above_lowest_polymorph_mev_per_atom": 344, "lattice": [[4.405, 0.000, 0.000], [0.000, 4.405, 0.000], [0.000, 0.000, 4.405]], "species": ["Na", "Tl", "C", "C", "C"], "fractional_positions": [[0.000, 0.000, 0.000], [0.500, 0.500, 0.500], [0.000, 0.000, 0.500], [0.000, 0.500, 0.000], [0.500, 0.000, 0.000]]}


{"formula": "NaTl2C", "functional": "PBE", "state": "relaxed", "formation_energy_ev_per_fu": 3.59, "e_above_lowest_polymorph_mev_per_atom": 0, "lattice": [[-4.209, 4.209, 2.640], [4.209, -4.209, 2.640], [4.209, 4.209, -2.640]], "species": ["Na", "Na", "Tl", "Tl", "Tl", "Tl", "C", "C"], "fractional_positions": [[0.000, 0.000, 0.000], [0.750, 0.250, 0.500], [0.237, 0.125, 0.612], [0.375, 0.763, 0.888], [0.513, 0.625, 0.388], [0.875, 0.487, 0.112], [0.250, 0.750, 0.500], [0.500, 0.500, 0.000]]}


{"formula": "NaTlC2", "functional": "PBE", "state": "relaxed", "formation_energy_ev_per_fu": 8.75, "e_above_lowest_polymorph_mev_per_atom": 27, "lattice": [[-2.245, 2.245, 7.325], [2.245, -2.245, 7.325], [2.245, 2.245, -7.325]], "species": ["Na", "Na", "Tl", "Tl", "C", "C", "C", "C"], "fractional_positions": [[0.000, 0.000, 0.000], [0.750, 0.250, 0.500], [0.250, 0.750, 0.500], [0.500, 0.500, 0.000], [0.215, 0.625, 0.090], [0.375, 0.465, 0.590], [0.535, 0.125, 0.910], [0.875, 0.785, 0.410]]}


{"formula": "NaTl2C", "functional": "PBE", "state": "relaxed", "formation_energy_ev_per_fu": 4.75, "e_above_lowest_polymorph_mev_per_atom": 289, "lattice": [[0.000, 3.497, 3.497], [3.497, 0.000, 3.497], [3.497, 3.497, 0.000]], "species": ["Na", "Tl", "Tl", "C"], "fractional_positions": [[0.000, 0.000, 0.000], [0.250, 0.250, 0.250], [0.750, 0.750, 0.750], [0.500, 0.500, 0.500]]}


{"formula": "Na2Tl4C", "functional": "PBE", "state": "relaxed", "formation_energy_ev_per_fu": 3.88, "lattice": [[-2.495, 2.495, 8.388], [2.495, -2.495, 8.388], [2.495, 2.495, -8.388]], "species": ["Na", "Na", "Tl", "Tl", "Tl", "Tl", "C"], "fractional_positions": [[0.158, 0.158, 0.000], [0.842, 0.842, 0.000], [0.000, 0.500, 0.500], [0.350, 0.350, 0.000], [0.500, 0.000, 0.500], [0.650, 0.650, 0.000], [0.500, 0.500, 0.000]]}


{"formula": "NaTlC3", "functional": "PBE", "state": "relaxed", "formation_energy_ev_per_fu": 15.68, "e_above_lowest_polymorph_mev_per_atom": 0, "lattice": [[4.571, 0.000, 0.000], [0.000, 4.571, 0.000], [0.000, 0.000, 4.571]], "species": ["Na", "Tl", "C", "C", "C"], "fractional_positions": [[0.000, 0.000, 0.000], [0.500, 0.500, 0.500], [0.000, 0.500, 0.500], [0.500, 0.000, 0.500], [0.500, 0.500, 0.000]]}